Here is a relaxed structure of LaTm2Cd from Alexandria via LeMat-Bulk. Energies are from PBE.

polymorph energy (0 for the lowest one) = 0 meV/atom
formation enthalpy at 0 K = -0.6 eV/f.u.
N(E_F) = 1.1876 states/eV per atom
VASP energy = -3.8374 eV/atom

Unit cell a=3.7726 b=5.5844 c=11.4398 alpha=90.00 beta=90.00 gamma=90.00
With the nearest neighbours (Å) after each atom.
Space group Immm (No. 71)
Unique sites:
1 La 0.0000 0.0000 0.0000  4 Cd 3.37, 4 Tm 3.69, 2 La 3.77
2 Tm 0.0000 0.5000 0.2233  2 Cd 3.18, 4 Tm 3.42
3 Cd 0.0000 0.0000 0.5000  4 Tm 3.18, 4 La 3.37